A plane-wave DFT calculation with GGA-PBE was carried out for a geometry-optimized Na3Dy3PaS8 structure.

Computed properties:
* formation energy without anion corrections: -1.782 eV per atom
* space-group type: No. 166

Cell lengths 8.0014, 8.0015, 8.1558 Å; angles 119.39, 90.00, 120.00 degrees
Site moments in Bohr magnetons follow the coordinates.
Atoms (fractional coordinates):
Na  0.0000  0.0000  0.0000  0.00
Na  0.0000  0.5000  0.0000  0.00
Na  0.5000  0.5000  0.0000  0.00
Dy  0.5000  0.0000  0.5000  0.02
Dy  0.5000  0.5000  0.5000  0.02
Dy  0.0000  0.5000  0.5000  0.02
Pa  0.0000  0.0000  0.5000  0.90
S  0.2580  0.5160  0.2742  0.00
S  0.7420  0.4840  0.7258  0.00
S  0.7614  0.5229  0.2790  -0.01
S  0.2386  0.4771  0.7210  -0.01
S  0.7614  0.0174  0.2790  -0.01
S  0.2386  0.9826  0.7210  -0.01
S  0.2560  0.0174  0.2790  -0.01
S  0.7440  0.9826  0.7210  -0.01

***

A plane-wave DFT calculation with GGA-PBE was carried out for a geometry-optimized Ac3Sb3Rh2 structure.

Computed properties:
* formation energy without anion corrections: -0.923 eV per atom
* space-group type: No. 63

Cell lengths 4.7058, 6.3528, 16.1057 Å; angles 90.00, 90.00, 111.74 degrees
Atoms (fractional coordinates):
Ac  0.9213  0.8425  0.3942
Ac  0.0787  0.1575  0.8942
Ac  0.9213  0.8425  0.1058
Ac  0.0787  0.1575  0.6058
Ac  0.6390  0.2781  0.2500
Ac  0.3610  0.7219  0.7500
Sb  0.6410  0.2820  0.4607
Sb  0.3590  0.7180  0.9607
Sb  0.6410  0.2820  0.0393
Sb  0.3590  0.7180  0.5393
Sb  0.3419  0.6839  0.2500
Sb  0.6581  0.3161  0.7500
Rh  0.7893  0.5785  0.8961
Rh  0.2107  0.4215  0.3961
Rh  0.7893  0.5785  0.6039
Rh  0.2107  0.4215  0.1039

***

A plane-wave DFT calculation with GGA-PBE was carried out for a geometry-optimized LiCd2In structure.

Computed properties:
* formation energy from the elements: -0.147 eV per atom
* space-group type: No. 139

Cell lengths 5.3742, 5.3742, 5.3742 Å; angles 130.90, 130.88, 71.98 degrees
Atoms (fractional coordinates):
Cd  0.0002  0.0002  0.0000
Cd  0.4998  0.4998  0.0000
Li  0.2500  0.7500  0.5000
In  0.7500  0.2500  0.5000

***

A plane-wave DFT calculation with GGA-PBE was carried out for a geometry-optimized AcYAsO6 structure.

Computed properties:
* formation energy without anion corrections: -2.324 eV per atom
* space-group type: No. 149

Cell lengths 5.5224, 5.5224, 5.2035 Å; angles 90.00, 90.00, 60.00 degrees
Site moments in Bohr magnetons follow the coordinates.
Atoms (fractional coordinates):
Ac  0.0000  0.0000  0.0000  0.00
Y  0.6666  0.6667  0.5000  -0.01
As  0.3333  0.3333  0.5000  -0.01
O  0.0534  0.3378  0.2941  0.15
O  0.3378  0.0534  0.7059  0.15
O  0.6088  0.3378  0.7059  0.15
O  0.0533  0.6089  0.7058  0.15
O  0.3378  0.6088  0.2941  0.15
O  0.6088  0.0534  0.2941  0.15

***

A plane-wave DFT calculation with GGA-PBE was carried out for a geometry-optimized La2BeIrN structure.

Computed properties:
* formation energy without anion corrections: -0.727 eV per atom
* space-group type: No. 123

Cell lengths 5.2678, 5.2678, 3.3369 Å; angles 90.00, 90.00, 90.00 degrees
Atoms (fractional coordinates):
Be  0.0000  0.0000  0.5000
N  0.0000  0.0000  0.0000
Ir  0.5000  0.5000  0.5000
La  0.0000  0.5000  0.0000
La  0.5000  0.0000  0.0000

***

A plane-wave DFT calculation with GGA-PBE was carried out for a geometry-optimized Th6GeC3 structure.

Computed properties:
* formation energy from the elements: -0.339 eV per atom
* space-group type: No. 11

Cell lengths 3.6725, 11.5620, 11.5186 Å; angles 108.13, 90.00, 90.00 degrees
Atoms (fractional coordinates):
Th  0.7500  0.1771  0.5634
Th  0.2500  0.8229  0.4366
Th  0.7500  0.1458  0.0514
Th  0.2500  0.8542  0.9486
Th  0.7500  0.7597  0.6707
Th  0.2500  0.2403  0.3293
Th  0.7500  0.5335  0.3669
Th  0.2500  0.4665  0.6331
Th  0.7500  0.3519  0.8797
Th  0.2500  0.6481  0.1203
Th  0.7500  0.9436  0.2339
Th  0.2500  0.0564  0.7661
Ge  0.7500  0.6126  0.8671
Ge  0.2500  0.3874  0.1329
C  0.7500  0.3578  0.4804
C  0.2500  0.6422  0.5196
C  0.7500  0.7254  0.2787
C  0.2500  0.2746  0.7213
C  0.7500  0.9553  0.8609
C  0.2500  0.0447  0.1391

***

A plane-wave DFT calculation with GGA-PBE was carried out for a geometry-optimized IrRuRh2 structure.

Computed properties:
* formation energy from the elements: 0.021 eV per atom
* space-group type: No. 47

Cell lengths 2.7147, 3.8639, 5.4096 Å; angles 90.00, 90.00, 90.00 degrees
Atoms (fractional coordinates):
Ru  0.5000  0.5000  0.2500
Ir  0.5000  0.5000  0.7500
Rh  0.0000  0.0000  0.0024
Rh  0.0000  0.0000  0.4976

***

A plane-wave DFT calculation with GGA-PBE was carried out for a geometry-optimized Tb2Al5Ag5 structure.

Computed properties:
* formation energy from the elements: -0.323 eV per atom
* space-group type: No. 47

Cell lengths 4.4470, 5.4447, 9.5513 Å; angles 90.00, 90.00, 90.00 degrees
Atoms (fractional coordinates):
Tb  0.0000  0.5000  0.0000
Tb  0.0000  0.0000  0.5000
Al  0.5000  0.5000  0.5000
Al  0.5000  0.7483  0.2445
Al  0.5000  0.2517  0.7555
Al  0.5000  0.2517  0.2445
Al  0.5000  0.7483  0.7555
Ag  0.0000  0.5000  0.3351
Ag  0.0000  0.0000  0.8198
Ag  0.0000  0.0000  0.1802
Ag  0.0000  0.5000  0.6649
Ag  0.5000  0.0000  0.0000

***

| no. | VASP energy (eV per atom) | volume (A^3/atom) |
| --- | --- | --- |
| 1 | -5.801 | 24.8 |
| 2 | -5.847 | 28.0 |
| 3 | -1.768 | 21.7 |
| 4 | -7.321 | 15.3 |
| 5 | -6.881 | 18.5 |
| 6 | -8.020 | 23.2 |
| 7 | -8.189 | 14.2 |
| 8 | -3.842 | 19.3 |